The following is a DFT calculation (PBE) of an optimized crystal structure of La4CdPd.

abc: 9.476 15.303 7.282
angles: 90.00 126.96 90.00
Space group C2/c (No. 15)
Inequivalent atoms, fractional coordinates:
La1 0.172 0.225 0.181 x8
La2 0.241 0.035 0.738 x8
Cd1 0.000 0.377 0.750 x4
Pd1 0.000 0.088 0.250 x4

The value obtained for the polymorph energy (0 for the lowest one) is 189 meV/atom. As for the formation energy: -0.218 eV/atom. As for the total energy: -4.5208 eV/atom. Its crystal system is monoclinic.

***

The following is a DFT calculation (PBE) of an optimized crystal structure of La2Cd2Pd.

abc: 7.338 7.338 5.040
angles: 90.00 90.00 90.00
Space group P4/mbm (No. 127)
Inequivalent atoms, fractional coordinates:
La1 0.165 0.335 0.000 x4
Cd1 0.141 0.641 0.500 x4
Pd1 0.000 0.000 0.500 x2

The value obtained for the polymorph energy (0 for the lowest one) is 0 meV/atom. As for the formation energy: -0.322 eV/atom. As for the total energy: -3.6973 eV/atom. Its crystal system is tetragonal.

***

The following is a DFT calculation (PBE) of an optimized crystal structure of La3Cd2Pd6.

abc: 9.928 9.928 9.928
angles: 90.00 90.00 90.00
Space group Im-3m (No. 229)
Inequivalent atoms, fractional coordinates:
La1 0.000 0.000 0.303 x12
Cd1 0.250 0.250 0.250 x8
Pd1 0.000 0.344 0.344 x24

As for the formation energy: -0.715 eV/atom. As for the total energy: -5.0578 eV/atom. Its crystal system is cubic.

***

The following is a DFT calculation (PBE) of an optimized crystal structure of LaCd2Pd2.

abc: 4.944 4.944 9.615
angles: 90.00 90.00 90.00
Space group I4/mmm (No. 139)
Inequivalent atoms, fractional coordinates:
La1 0.000 0.000 0.000 x2
Cd1 0.000 0.000 0.359 x4
Pd1 0.000 0.500 0.250 x4

The value obtained for the polymorph energy (0 for the lowest one) is 135 meV/atom. As for the formation energy: -0.430 eV/atom. As for the total energy: -3.8585 eV/atom. Its crystal system is tetragonal.

***

The following is a DFT calculation (PBE) of an optimized crystal structure of LaCd2Pd2.

abc: 5.177 9.635 9.671
angles: 90.00 102.87 90.00
Space group C2/c (No. 15)
Inequivalent atoms, fractional coordinates:
La1 0.000 0.113 0.250 x4
Cd1 0.074 0.359 0.000 x8
Pd1 0.000 0.204 0.750 x4
Pd2 0.000 0.465 0.250 x4

The value obtained for the polymorph energy (0 for the lowest one) is 87 meV/atom. As for the formation energy: -0.477 eV/atom. As for the total energy: -3.9060 eV/atom. Its crystal system is monoclinic.

***

The following is a DFT calculation (PBE) of an optimized crystal structure of La3Cd2Pd4.

abc: 10.164 4.634 9.151
angles: 90.00 93.48 90.00
Space group C2/m (No. 12)
Inequivalent atoms, fractional coordinates:
La1 0.000 0.000 0.000 x2
La2 0.128 0.500 0.386 x4
Cd1 0.178 0.500 0.781 x4
Pd1 0.080 0.000 0.631 x4
Pd2 0.213 0.500 0.087 x4

The value obtained for the polymorph energy (0 for the lowest one) is 11 meV/atom. As for the formation energy: -0.694 eV/atom. As for the total energy: -4.8473 eV/atom. Its crystal system is monoclinic.

***

The following is a DFT calculation (PBE) of an optimized crystal structure of La3CdPd8.

abc: 5.5109 5.5109 27.1264
angles: 90.00 90.00 120.00
Space group R3m (No. 160, hexagonal axes)
Inequivalent atoms, fractional coordinates:
La1 0.0000 0.0000 0.0000 x3
La2 0.0000 0.0000 0.1289 x3
La3 0.0000 0.0000 0.6134 x3
Cd1 0.0000 0.0000 0.4917 x3
Pd1 0.0000 0.0000 0.3101 x3
Pd2 0.0000 0.0000 0.8104 x3
Pd3 0.9998 0.4999 0.0600 x9
Pd4 0.0023 0.5012 0.5602 x9

As for the formation energy: -0.750 eV/atom. As for the total energy: -5.5205 eV/atom. Its crystal system is trigonal.

***

The following is a DFT calculation (PBE) of an optimized crystal structure of LaCdPd.

abc: 7.8018 7.8018 4.1446
angles: 90.00 90.00 120.00
Space group P-62m (No. 189)
Inequivalent atoms, fractional coordinates:
La1 0.0000 0.5905 0.0000 x3
Cd1 0.0000 0.2475 0.5000 x3
Pd1 0.0000 0.0000 0.0000 x1
Pd2 0.3333 0.6667 0.5000 x2

As for the formation energy: -0.698 eV/atom. As for the total energy: -4.3760 eV/atom. Its crystal system is hexagonal.

***

The following is a DFT calculation (PBE) of an optimized crystal structure of La3CdPd12.

abc: 4.199 4.199 16.602
angles: 90.00 90.00 90.00
Space group P4/mmm (No. 123)
Inequivalent atoms, fractional coordinates:
La1 0.000 0.000 0.000 x1
La2 0.000 0.000 0.258 x2
Cd1 0.000 0.000 0.500 x1
Pd1 0.000 0.500 0.127 x4
Pd2 0.000 0.500 0.383 x4
Pd3 0.500 0.500 0.000 x1
Pd4 0.500 0.500 0.255 x2
Pd5 0.500 0.500 0.500 x1

As for the formation energy: -0.651 eV/atom. As for the total energy: -5.5264 eV/atom. Its crystal system is tetragonal.

***

The following is a DFT calculation (PBE) of an optimized crystal structure of La4Cd3Pd.

abc: 3.868 3.868 15.504
angles: 90.00 90.00 90.00
Space group P4/mmm (No. 123)
Inequivalent atoms, fractional coordinates:
La1 0.000 0.000 0.108 x2
La2 0.000 0.000 0.370 x2
Cd1 0.500 0.500 0.243 x2
Cd2 0.500 0.500 0.500 x1
Pd1 0.500 0.500 0.000 x1

As for the formation energy: -0.434 eV/atom. As for the total energy: -3.8904 eV/atom. Its crystal system is tetragonal.

***

The following is a DFT calculation (PBE) of an optimized crystal structure of La8Cd2Pd.

abc: 18.855 5.498 7.105
angles: 90.00 106.45 90.00
Space group C2/m (No. 12)
Inequivalent atoms, fractional coordinates:
La1 0.014 0.000 0.282 x4
La2 0.090 0.500 0.937 x4
La3 0.155 0.500 0.457 x4
La4 0.205 0.000 0.777 x4
Cd1 0.180 0.000 0.211 x4
Pd1 0.000 0.500 0.500 x2

As for the formation energy: -0.233 eV/atom. As for the total energy: -4.4550 eV/atom. Its crystal system is monoclinic.